Entry from the Alexandria database: a geometry-optimized UZnPt structure (PBE).

Cell: 4.6146 4.6146 3.0103 Å, 90.00 90.00 120.00°
Space group P-6m2 (No. 187)
One atom of each set of equivalent atoms:
U  0.0000  0.0000  0.0000 [1 per cell]
Zn  0.3333  0.6667  0.5000 [1 per cell]
Pt  0.6667  0.3333  0.5000 [1 per cell]

## Properties
The density of states at the Fermi level comes out at 1.793 states/eV/atom. The energy of formation from the pure elements is -0.46 eV/atom. Its crystal system is hexagonal. The calculation puts the total energy at -19.98 eV per cell.